TaVOs: optimized geometry, PBE.

The value obtained for the total DFT energy (no corrections) is -66.2 eV per cell. As for the space-group type: No. 74.

abc: 5.069 5.069 5.069
angles: 91.59 121.85 116.40
Positions (direct):
1 V 0.500 0.500 0.500
2 V 0.000 0.500 0.000
3 Os 0.000 0.500 0.500
4 Os 0.500 0.000 0.500
5 Ta 0.750 0.874 0.124
6 Ta 0.250 0.126 0.876

TaVOs: optimized geometry, PBE.

The value obtained for the total DFT energy (no corrections) is -64.6 eV per cell. As for the space-group type: No. 12.

abc: 3.072 3.072 13.032
angles: 61.95 61.95 90.01
Positions (direct):
1 Os 0.068 0.068 0.092
2 Os 0.932 0.932 0.908
3 V 0.722 0.722 0.764
4 V 0.278 0.278 0.236
5 Ta 0.561 0.561 0.594
6 Ta 0.439 0.439 0.406

Ta4VOs: optimized geometry, PBE.

The value obtained for the total DFT energy (no corrections) is -65.4 eV per cell. As for the space-group type: No. 123.

abc: 4.359 4.359 6.152
angles: 89.98 89.99 90.00
Positions (direct):
1 Ta 0.001 0.497 0.254
2 Ta 0.501 0.997 0.254
3 Ta 0.501 0.997 0.742
4 Ta 0.001 0.497 0.742
5 V 0.001 0.997 0.498
6 Os 0.501 0.497 0.998

Ta2VOs: optimized geometry, PBE.

The value obtained for the total DFT energy (no corrections) is -90.7 eV per cell. As for the space-group type: No. 63.

abc: 4.482 5.487 5.487
angles: 109.15 90.00 90.00
Positions (direct):
1 Ta 0.250 0.872 0.622
2 Ta 0.250 0.378 0.128
3 Ta 0.750 0.622 0.872
4 Ta 0.750 0.128 0.378
5 Os 0.250 0.874 0.126
6 Os 0.750 0.126 0.874
7 V 0.250 0.377 0.623
8 V 0.750 0.623 0.377

Ta4V4Os: optimized geometry, PBE.

The value obtained for the total DFT energy (no corrections) is -92.5 eV per cell. As for the space-group type: No. 42.

abc: 4.885 7.213 4.885
angles: 70.25 89.89 109.75
Positions (direct):
1 Ta 0.045 0.627 0.418
2 Ta 0.954 0.373 0.046
3 Ta 0.418 0.373 0.582
4 Ta 0.582 0.627 0.955
5 Os 0.000 0.000 0.000
6 V 0.232 0.847 0.768
7 V 0.615 0.847 0.385
8 V 0.384 0.153 0.231
9 V 0.769 0.153 0.616

TaV4Os: optimized geometry, PBE.

The value obtained for the total DFT energy (no corrections) is -60.1 eV per cell. As for the space-group type: No. 216.

abc: 4.948 4.948 4.948
angles: 60.00 60.00 60.00
Positions (direct):
1 V 0.625 0.625 0.625
2 V 0.625 0.625 0.125
3 V 0.625 0.125 0.625
4 V 0.125 0.625 0.625
5 Os 0.000 0.000 0.000
6 Ta 0.250 0.250 0.250

Ta7V2Os3: optimized geometry, PBE.

The value obtained for the total DFT energy (no corrections) is -132.5 eV per cell. As for the space-group type: No. 65.

abc: 4.363 4.505 11.357
angles: 101.44 90.00 90.00
Positions (direct):
1 Os 0.500 0.646 0.292
2 Os 0.500 0.500 0.000
3 Os 0.500 0.354 0.708
4 Ta 0.500 0.078 0.156
5 Ta 0.500 0.922 0.844
6 Ta 0.000 0.712 0.425
7 Ta 0.000 0.288 0.575
8 Ta 0.000 0.425 0.851
9 Ta 0.000 0.000 0.000
10 Ta 0.000 0.575 0.149
11 V 0.000 0.852 0.704
12 V 0.000 0.148 0.296

TaV4Os2: optimized geometry, PBE.

The value obtained for the total DFT energy (no corrections) is -61.9 eV per cell. As for the space-group type: No. 139.

abc: 4.516 4.516 7.024
angles: 71.25 71.25 90.00
Positions (direct):
1 V 0.203 0.203 0.594
2 V 0.500 0.000 0.000
3 V 0.000 0.500 0.000
4 V 0.797 0.797 0.406
5 Os 0.388 0.388 0.225
6 Os 0.612 0.612 0.775
7 Ta 0.000 0.000 0.000

Ta3VOs2: optimized geometry, PBE.

The value obtained for the total DFT energy (no corrections) is -68.8 eV per cell. As for the space-group type: No. 123.

abc: 3.159 3.159 9.641
angles: 90.00 90.00 90.00
Positions (direct):
1 Ta 0.000 0.000 0.341
2 Ta 0.000 0.000 0.659
3 Ta 0.000 0.000 0.000
4 Os 0.500 0.500 0.834
5 Os 0.500 0.500 0.166
6 V 0.500 0.500 0.500

TaVOs2: optimized geometry, PBE.

The value obtained for the total DFT energy (no corrections) is -44.5 eV per cell. As for the space-group type: No. 123.

abc: 2.984 2.984 6.754
angles: 90.00 90.00 90.00
Positions (direct):
1 Os 0.000 0.000 0.779
2 Os 0.000 0.000 0.221
3 Ta 0.500 0.500 0.500
4 V 0.500 0.500 0.000

TaV4Os5: optimized geometry, PBE.

The value obtained for the total DFT energy (no corrections) is -107.0 eV per cell. As for the space-group type: No. 123.

abc: 2.984 2.984 16.081
angles: 90.00 90.00 90.00
Positions (direct):
1 Os 0.500 0.500 0.690
2 Os 0.500 0.500 0.878
3 Os 0.500 0.500 0.500
4 Os 0.500 0.500 0.310
5 Os 0.500 0.500 0.122
6 V 0.000 0.000 0.790
7 V 0.000 0.000 0.210
8 V 0.000 0.000 0.404
9 V 0.000 0.000 0.596
10 Ta 0.000 0.000 0.000

TaVOs2: optimized geometry, PBE.

The value obtained for the total DFT energy (no corrections) is -41.2 eV per cell. As for the space-group type: No. 71.

abc: 5.800 5.800 5.800
angles: 53.78 151.89 135.14
Positions (direct):
1 Ta 0.000 0.500 0.500
2 Os 0.000 0.779 0.779
3 Os 0.000 0.221 0.221
4 V 0.000 0.000 0.000